No. 1
## HfZnCr (PBE-GGA)

Data for crystalline HfZnCr at its relaxed geometry.

The structure in POSCAR format:
```
HfZnCr
1.0
-0.423 2.228 4.679
1.111 -2.763 4.305
7.946 3.656 1.866
Zn Cr Hf
4 4 4
Direct
0.164 0.500 0.673
0.336 0.500 0.327
0.586 0.000 0.827
0.414 0.000 0.173
0.623 0.500 0.753
0.877 0.500 0.247
0.127 0.000 0.747
0.873 0.000 0.253
0.914 0.173 0.500
0.586 0.827 0.500
0.836 0.327 0.000
0.164 0.673 0.000
```

Summary:
**Formation energy**: 0.35 eV/atom
**SG**: No. 70
**Total DFT energy (no corrections)**: -6.595 eV/atom

=====

No. 2
## LaErCoPd (PBE-GGA)

Data for crystalline LaErCoPd at its relaxed geometry.

The structure in POSCAR format:
```
LaErCoPd
1.0
-3.932 2.427 -1.793
-3.726 -2.517 -2.085
-4.374 -0.319 2.310
La Co Pd Er
1 1 1 1
Direct
0.000 0.000 0.000
0.250 0.250 0.250
0.750 0.750 0.750
0.500 0.500 0.500
```

Summary:
**Formation energy**: -0.40 eV/atom
**SG**: No. 216
**Total DFT energy (no corrections)**: -5.847 eV/atom

=====

No. 3
## TbInSi2Ir5 (PBE-GGA)

Data for crystalline TbInSi2Ir5 at its relaxed geometry.

The structure in POSCAR format:
```
TbInSi2Ir5
1.0
3.932 0.000 0.000
0.000 3.932 0.000
0.000 0.000 11.245
Tb In Si Ir
1 1 2 5
Direct
0.000 0.000 0.500
0.000 0.000 0.000
0.500 0.500 0.292
0.500 0.500 0.708
0.000 0.500 0.175
0.500 0.000 0.175
0.000 0.500 0.825
0.500 0.000 0.825
0.500 0.500 0.500
```

Summary:
**SG**: No. 123
**Total DFT energy (no corrections)**: -7.215 eV/atom

=====

No. 4
## Si2RhCl (PBE-GGA)

Data for crystalline Si2RhCl at its relaxed geometry.

The structure in POSCAR format:
```
Si2RhCl
1.0
-4.231 -1.272 0.694
-2.873 -0.174 -3.423
-1.425 -3.955 -1.524
Si Rh Cl
2 1 1
Direct
0.250 0.250 0.250
0.750 0.750 0.750
0.500 0.500 0.500
0.000 0.000 0.000
```

Summary:
**Energy relative to the lowest polymorph listed for this composition**: 0.585 eV/atom
**SG**: No. 225
**Total DFT energy (no corrections)**: -4.541 eV/atom

=====

No. 5
## InWSe (PBE-GGA)

Data for crystalline InWSe at its relaxed geometry.

The structure in POSCAR format:
```
InWSe
1.0
6.871 -0.025 0.000
5.502 4.115 0.000
-6.186 -2.045 2.180
In Se W
1 1 1
Direct
0.021 0.021 0.000
0.293 0.293 0.000
0.686 0.686 0.000
```

Summary:
**Energy relative to the lowest polymorph listed for this composition**: 0.084 eV/atom
**SG**: No. 107
**Total DFT energy (no corrections)**: -6.153 eV/atom

=====

No. 6
## ScZn2Au3 (PBE-GGA)

Data for crystalline ScZn2Au3 at its relaxed geometry.

The structure in POSCAR format:
```
ScZn2Au3
1.0
-2.429 3.611 -1.444
-2.071 -4.035 0.675
-2.138 2.922 10.906
Sc Zn Au
2 4 6
Direct
0.333 0.667 0.673
0.667 0.333 0.327
0.000 0.000 0.500
0.333 0.667 0.175
0.667 0.333 0.825
0.000 0.000 0.000
0.333 0.667 0.425
0.667 0.333 0.074
0.000 0.000 0.769
0.000 0.000 0.231
0.333 0.667 0.926
0.667 0.333 0.575
```

Summary:
**Energy relative to the lowest polymorph listed for this composition**: 0.000 eV/atom
**Formation energy**: -0.46 eV/atom
**SG**: No. 164
**Total DFT energy (no corrections)**: -3.582 eV/atom

=====

No. 7
## Hf6Ga3Au (PBE-GGA)

Data for crystalline Hf6Ga3Au at its relaxed geometry.

The structure in POSCAR format:
```
Hf6Ga3Au
1.0
-0.963 2.877 -5.314
-0.601 -7.402 -3.897
-7.780 1.939 2.459
Hf Ga Au
12 6 2
Direct
0.100 0.754 0.678
0.600 0.678 0.754
0.262 0.519 0.928
0.762 0.928 0.519
0.306 0.949 0.051
0.665 0.292 0.708
0.165 0.708 0.292
0.806 0.051 0.949
0.262 0.072 0.481
0.762 0.481 0.072
0.100 0.322 0.246
0.600 0.246 0.322
0.443 0.990 0.750
0.943 0.750 0.990
0.307 0.435 0.565
0.807 0.565 0.435
0.943 0.010 0.250
0.443 0.250 0.010
0.096 0.200 0.800
0.596 0.800 0.200
```

Summary:
**Formation energy**: -0.25 eV/atom
**SG**: No. 36
**Total DFT energy (no corrections)**: -7.453 eV/atom

=====

No. 8
## Hg2IrRh (PBE-GGA)

Data for crystalline Hg2IrRh at its relaxed geometry.

The structure in POSCAR format:
```
Hg2IrRh
1.0
7.513 0.000 0.000
0.000 7.513 0.000
3.756 3.756 2.747
Ir Rh Hg
2 2 4
Direct
0.000 0.000 0.000
0.750 0.250 0.500
0.500 0.500 0.000
0.250 0.750 0.500
0.625 0.125 0.250
0.125 0.625 0.250
0.375 0.375 0.750
0.875 0.875 0.750
```

Summary:
**Energy relative to the lowest polymorph listed for this composition**: 0.473 eV/atom
**Formation energy**: 0.77 eV/atom
**SG**: No. 122
**Total DFT energy (no corrections)**: -3.438 eV/atom

=====

No. 9
## Pm12Ir6C (PBE-GGA)

Data for crystalline Pm12Ir6C at its relaxed geometry.

The structure in POSCAR format:
```
Pm12Ir6C
1.0
-0.553 -7.735 -2.773
6.257 2.640 -4.659
4.067 -1.393 7.024
Pm Ir C
12 6 1
Direct
0.824 0.576 0.413
0.413 0.824 0.576
0.576 0.413 0.824
0.176 0.424 0.587
0.587 0.176 0.424
0.424 0.587 0.176
0.069 0.956 0.309
0.044 0.691 0.931
0.691 0.931 0.044
0.931 0.044 0.691
0.956 0.309 0.069
0.309 0.069 0.956
0.702 0.867 0.382
0.618 0.298 0.133
0.133 0.618 0.298
0.298 0.133 0.618
0.382 0.702 0.867
0.867 0.382 0.702
0.000 0.000 0.000
```

Summary:
**Formation energy**: -0.51 eV/atom
**SG**: No. 148
**Total DFT energy (no corrections)**: -6.790 eV/atom

=====

No. 10
## DyCd6In2 (PBE-GGA)

Data for crystalline DyCd6In2 at its relaxed geometry.

The structure in POSCAR format:
```
DyCd6In2
1.0
4.242 0.068 0.523
1.678 6.290 3.376
0.082 -0.181 8.259
Dy Cd In
1 6 2
Direct
0.000 0.000 0.000
0.171 0.827 0.683
0.829 0.173 0.317
0.323 0.347 0.000
0.171 0.510 0.317
0.829 0.490 0.683
0.677 0.653 0.000
0.500 0.833 0.333
0.500 0.167 0.667
```

Summary:
**Formation energy**: -0.09 eV/atom
**SG**: No. 12
**Total DFT energy (no corrections)**: -1.821 eV/atom

=====

No. 11
## KIn2Cu (PBE-GGA)

Data for crystalline KIn2Cu at its relaxed geometry.

The structure in POSCAR format:
```
KIn2Cu
1.0
6.061 -0.042 -0.154
-2.795 5.924 0.050
0.471 0.814 2.964
Cu In K
1 2 1
Direct
0.500 0.500 0.000
0.000 0.000 0.000
0.500 0.000 0.500
0.000 0.500 0.500
```

Summary:
**Formation energy**: 0.32 eV/atom
**SG**: No. 12
**Total DFT energy (no corrections)**: -2.347 eV/atom

=====

No. 12
## Ir3PbBr (PBE-GGA)

Data for crystalline Ir3PbBr at its relaxed geometry.

The structure in POSCAR format:
```
Ir3PbBr
1.0
-1.617 -4.391 -2.011
2.338 1.144 -4.378
4.226 -2.313 1.653
Pb Ir Br
1 3 1
Direct
0.000 0.000 0.000
0.000 0.500 0.000
0.000 0.000 0.500
0.500 0.000 0.000
0.500 0.500 0.500
```

Summary:
**Energy relative to the lowest polymorph listed for this composition**: 0.733 eV/atom
**SG**: No. 221
**Total DFT energy (no corrections)**: -4.052 eV/atom

=====

No. 13
## PrDyTlGa (PBE-GGA)

Data for crystalline PrDyTlGa at its relaxed geometry.

The structure in POSCAR format:
```
PrDyTlGa
1.0
-0.166 -5.327 0.056
3.775 -2.757 2.561
-1.183 -2.582 4.510
Pr Tl Ga Dy
1 1 1 1
Direct
0.000 0.000 0.000
0.750 0.750 0.750
0.250 0.250 0.250
0.500 0.500 0.500
```

Summary:
**Energy relative to the lowest polymorph listed for this composition**: 0.037 eV/atom
**Formation energy**: -0.43 eV/atom
**SG**: No. 216
**Total DFT energy (no corrections)**: -4.123 eV/atom

=====

No. 14
## KCuPbBr4 (PBE-GGA)

Data for crystalline KCuPbBr4 at its relaxed geometry.

The structure in POSCAR format:
```
KCuPbBr4
1.0
6.882 0.000 -0.071
0.000 7.659 0.000
-2.785 0.000 8.659
K Cu Pb Br
2 2 2 8
Direct
0.751 0.750 0.941
0.249 0.250 0.059
0.207 0.750 0.318
0.793 0.250 0.682
0.782 0.750 0.446
0.218 0.250 0.554
0.015 0.508 0.734
0.985 0.008 0.266
0.985 0.492 0.266
0.015 0.992 0.734
0.430 0.750 0.147
0.570 0.250 0.853
0.444 0.750 0.586
0.556 0.250 0.414
```

Summary:
**SG**: No. 11
**Total DFT energy (no corrections)**: -3.177 eV/atom

=====

No. 15
## Pr2AgRu (PBE-GGA)

Data for crystalline Pr2AgRu at its relaxed geometry.

The structure in POSCAR format:
```
Pr2AgRu
1.0
3.552 0.000 0.000
0.000 3.552 0.000
0.000 0.000 7.838
Pr Ru Ag
2 1 1
Direct
0.000 0.000 0.777
0.000 0.000 0.223
0.500 0.500 0.000
0.500 0.500 0.500
```

Summary:
**Formation energy**: -0.21 eV/atom
**SG**: No. 123
**Total DFT energy (no corrections)**: -5.632 eV/atom

=====

No. 16
## PuMg2Al (PBE-GGA)

Data for crystalline PuMg2Al at its relaxed geometry.

The structure in POSCAR format:
```
PuMg2Al
1.0
3.074 0.000 0.000
0.000 3.074 0.000
0.000 0.000 9.345
Mg Al Pu
2 1 1
Direct
0.000 0.000 0.779
0.000 0.000 0.221
0.500 0.500 0.000
0.500 0.500 0.500
```

Summary:
**Energy relative to the lowest polymorph listed for this composition**: 0.000 eV/atom
**Formation energy**: 0.05 eV/atom
**SG**: No. 123
**Total DFT energy (no corrections)**: -5.264 eV/atom

=====

No. 17
## Ru (PBE-GGA)

Data for crystalline Ru at its relaxed geometry.

The structure in POSCAR format:
```
Ru
1.0
-4.697 -1.648 -1.444
2.175 -3.093 -3.545
0.471 -6.766 6.192
Ru
16
Direct
0.837 0.837 0.250
0.337 0.163 0.000
0.663 0.837 0.000
0.163 0.163 0.250
0.163 0.337 0.500
0.837 0.663 0.500
0.163 0.663 0.000
0.163 0.837 0.750
0.837 0.163 0.750
0.837 0.337 0.000
0.337 0.837 0.500
0.663 0.163 0.500
0.337 0.337 0.750
0.663 0.663 0.750
0.663 0.337 0.250
0.337 0.663 0.250
```

Summary:
**Energy relative to the lowest polymorph listed for this composition**: 0.738 eV/atom
**Formation energy**: 0.74 eV/atom
**SG**: No. 142
**Total DFT energy (no corrections)**: -8.538 eV/atom

=====

No. 18
## Cd2NiMo (PBE-GGA)

Data for crystalline Cd2NiMo at its relaxed geometry.

The structure in POSCAR format:
```
Cd2NiMo
1.0
2.920 0.000 0.000
0.000 4.777 0.000
0.000 0.000 4.852
Cd Mo Ni
2 1 1
Direct
0.000 0.000 0.000
0.500 0.500 0.000
0.500 0.000 0.500
0.000 0.500 0.500
```

Summary:
**Energy relative to the lowest polymorph listed for this composition**: 0.358 eV/atom
**Formation energy**: 0.49 eV/atom
**SG**: No. 47
**Total DFT energy (no corrections)**: -4.120 eV/atom

=====

No. 19
## PrYEr2Tm (PBE-GGA)

Data for crystalline PrYEr2Tm at its relaxed geometry.

The structure in POSCAR format:
```
PrYEr2Tm
1.0
-5.763 -3.541 -2.507
3.875 -7.294 1.395
-4.139 3.488 4.587
Pr Y Er Tm
2 2 4 2
Direct
0.250 0.729 0.459
0.750 0.271 0.541
0.250 0.004 0.008
0.750 0.996 0.992
0.500 0.311 0.000
0.000 0.689 0.000
0.500 0.689 0.000
0.000 0.311 0.000
0.750 0.717 0.433
0.250 0.283 0.567
```

Summary:
**Formation energy**: 0.39 eV/atom
**SG**: No. 63
**Total DFT energy (no corrections)**: -4.579 eV/atom

=====

No. 20
## LuPuZr (PBE-GGA)

Data for crystalline LuPuZr at its relaxed geometry.

The structure in POSCAR format:
```
LuPuZr
1.0
-1.296 1.545 2.510
-3.177 -4.057 0.857
4.684 0.183 2.306
Lu Zr Pu
1 1 1
Direct
0.667 0.667 0.333
0.166 0.000 0.000
0.167 0.333 0.667
```

Summary:
**Energy relative to the lowest polymorph listed for this composition**: 0.021 eV/atom
**Formation energy**: 0.13 eV/atom
**SG**: No. 187
**Total DFT energy (no corrections)**: -9.001 eV/atom

=====

No. 21
## P2RuSeN (PBE-GGA)

Data for crystalline P2RuSeN at its relaxed geometry.

The structure in POSCAR format:
```
P2RuSeN
1.0
2.813 0.000 0.000
0.000 4.806 0.000
0.000 0.000 11.665
P Ru Se N
4 2 2 2
Direct
0.500 0.000 0.284
0.500 0.500 0.784
0.500 0.000 0.860
0.500 0.500 0.360
0.000 0.000 0.132
0.000 0.500 0.632
0.000 0.000 0.602
0.000 0.500 0.102
0.000 0.000 0.940
0.000 0.500 0.440
```

Summary:
**Energy relative to the lowest polymorph listed for this composition**: 0.115 eV/atom
**SG**: No. 38
**Total DFT energy (no corrections)**: -6.331 eV/atom

=====

No. 22
## CoNi2Ir8 (PBE-GGA)

Data for crystalline CoNi2Ir8 at its relaxed geometry.

The structure in POSCAR format:
```
CoNi2Ir8
1.0
3.645 0.000 -1.048
-0.578 5.652 -2.010
0.058 0.551 7.064
Co Ni Ir
1 2 8
Direct
0.500 0.000 0.000
0.229 0.637 0.457
0.771 0.363 0.543
0.593 0.456 0.185
0.319 0.094 0.638
0.137 0.182 0.274
0.045 0.732 0.089
0.863 0.818 0.726
0.681 0.906 0.362
0.407 0.544 0.815
0.955 0.268 0.911
```

Summary:
**Formation energy**: 0.01 eV/atom
**SG**: No. 12
**Total DFT energy (no corrections)**: -8.128 eV/atom

=====

No. 23
## ZrNiCl2 (PBE-GGA)

Data for crystalline ZrNiCl2 at its relaxed geometry.

The structure in POSCAR format:
```
ZrNiCl2
1.0
-6.949 2.598 1.018
-5.780 -1.171 4.614
7.132 1.566 -1.658
Ni Zr Cl
1 1 2
Direct
0.250 0.750 0.500
0.750 0.250 0.500
0.894 0.894 0.000
0.606 0.606 0.000
```

Summary:
**Energy relative to the lowest polymorph listed for this composition**: 0.226 eV/atom
**SG**: No. 71
**Total DFT energy (no corrections)**: -5.204 eV/atom

=====

No. 24
## Pr3Nd2In7 (PBE-GGA)

Data for crystalline Pr3Nd2In7 at its relaxed geometry.

The structure in POSCAR format:
```
Pr3Nd2In7
1.0
5.562 0.000 0.000
0.000 5.283 0.000
0.000 -2.642 12.667
Pr Nd In
3 2 7
Direct
0.500 0.500 0.000
0.500 0.657 0.315
0.500 0.343 0.685
0.000 0.857 0.714
0.000 0.143 0.286
0.000 0.428 0.857
0.000 0.727 0.453
0.000 0.000 0.000
0.000 0.572 0.143
0.500 0.077 0.155
0.500 0.923 0.845
0.000 0.273 0.547
```

Summary:
**Formation energy**: -0.25 eV/atom
**SG**: No. 65
**Total DFT energy (no corrections)**: -3.842 eV/atom